No. 1
VASP calculation (PBE-GGA) on a geometry-optimized IrPt8Rh6 structure.

CIF file:
```
data_IrPt8Rh6
_symmetry_space_group_name_H-M 'P 1'
_symmetry_Int_Tables_number 1
_cell_length_a 7.2584
_cell_length_b 7.2584
_cell_length_c 6.7773
_cell_angle_alpha 57.62
_cell_angle_beta 57.62
_cell_angle_gamma 60.00
loop_
_symmetry_equiv_pos_as_xyz
'x,y,z'
loop_
_atom_site_label
_atom_site_fract_x
_atom_site_fract_y
_atom_site_fract_z
Pt1 0.7471 0.7471 0.7588
Pt2 0.5845 0.1717 0.3870
Pt3 0.1433 0.4155 0.6130
Pt4 0.8283 0.1433 0.6130
Pt5 0.2529 0.2529 0.2412
Pt6 0.8567 0.5845 0.3870
Pt7 0.4155 0.8283 0.6130
Pt8 0.1717 0.8567 0.3870
Rh1 0.9133 0.3429 0.1103
Rh2 0.3665 0.0867 0.8897
Rh3 0.6571 0.3665 0.8897
Rh4 0.6335 0.9133 0.1103
Rh5 0.0867 0.6571 0.8897
Rh6 0.3429 0.6335 0.1103
Ir1 0.0000 0.0000 0.0000
```

Summary:
Volume = 16.2 Å³/atom
Formation energy = 3.92 eV/f.u.
Magnetic moment = 0.01 μB per formula unit
Density of states at the Fermi level = 1.8588 states/eV/atom
SG = No. 148
Energy above the most stable polymorph in this dataset = 1.683 eV/f.u.


No. 2
VASP calculation (PBE-GGA) on a geometry-optimized Th3ZnOs structure.

CIF file:
```
data_Th3ZnOs
_symmetry_space_group_name_H-M 'P 1'
_symmetry_Int_Tables_number 1
_cell_length_a 5.3334
_cell_length_b 7.9258
_cell_length_c 8.1200
_cell_angle_alpha 119.21
_cell_angle_beta 90.00
_cell_angle_gamma 90.00
loop_
_symmetry_equiv_pos_as_xyz
'x,y,z'
loop_
_atom_site_label
_atom_site_fract_x
_atom_site_fract_y
_atom_site_fract_z
Th1 0.0000 0.1360 0.2720
Th2 0.0000 0.8640 0.7280
Th3 0.5000 0.0000 0.5000
Th4 0.5000 0.5000 0.5000
Th5 0.5000 0.3102 0.0000
Th6 0.5000 0.6898 0.0000
Zn1 0.0000 0.6199 0.2399
Zn2 0.0000 0.3801 0.7601
Os1 0.5000 0.8931 0.7862
Os2 0.5000 0.1069 0.2138
```

Summary:
Volume = 30.0 Å³/atom
Formation energy = 0.07 eV/f.u.
Magnetic moment = 0.00 μB per formula unit
Density of states at the Fermi level = 1.1020 states/eV/atom
SG = No. 65


No. 3
VASP calculation (PBE-GGA) on a geometry-optimized Mg2ZnOs structure.

CIF file:
```
data_Mg2ZnOs
_symmetry_space_group_name_H-M 'P 1'
_symmetry_Int_Tables_number 1
_cell_length_a 9.3969
_cell_length_b 9.3969
_cell_length_c 9.3969
_cell_angle_alpha 17.68
_cell_angle_beta 17.68
_cell_angle_gamma 17.68
loop_
_symmetry_equiv_pos_as_xyz
'x,y,z'
loop_
_atom_site_label
_atom_site_fract_x
_atom_site_fract_y
_atom_site_fract_z
Os1 0.2500 0.2500 0.2500
Zn1 0.7500 0.7500 0.7500
Mg1 0.5047 0.5047 0.5047
Mg2 0.9953 0.9953 0.9953
```

Summary:
Volume = 16.7 Å³/atom
Formation energy = 0.77 eV/f.u.
Magnetic moment = 0.00 μB per formula unit
Density of states at the Fermi level = 0.6332 states/eV/atom
SG = No. 166


No. 4
VASP calculation (PBE-GGA) on a geometry-optimized Cs2LiSiS4 structure.

CIF file:
```
data_Cs2LiSiS4
_symmetry_space_group_name_H-M 'P 1'
_symmetry_Int_Tables_number 1
_cell_length_a 5.7715
_cell_length_b 7.5926
_cell_length_c 13.0042
_cell_angle_alpha 85.16
_cell_angle_beta 77.18
_cell_angle_gamma 67.66
loop_
_symmetry_equiv_pos_as_xyz
'x,y,z'
loop_
_atom_site_label
_atom_site_fract_x
_atom_site_fract_y
_atom_site_fract_z
S1 0.5021 0.3230 0.5967
S2 0.9012 0.6770 0.5967
S3 0.4218 0.6770 0.4033
S4 0.8488 0.8230 0.9033
S5 0.5751 0.1770 0.0967
S6 0.1749 0.3230 0.4033
S7 0.2479 0.1770 0.9033
S8 0.3282 0.8230 0.0967
Cs1 0.8251 0.0000 0.3498
Cs2 0.9249 0.5000 0.1502
Cs3 0.1749 0.0000 0.6502
Cs4 0.5751 0.5000 0.8498
Si1 0.2500 0.5000 0.5000
Si2 0.5000 0.0000 0.0000
Li1 0.0000 0.0000 0.0000
Li2 0.7500 0.5000 0.5000
```

Summary:
VASP energy = -4.2093 eV per atom
Volume = 32.1 Å³/atom
Magnetic moment = 1.05 μB per formula unit
Density of states at the Fermi level = 0.7891 states/eV/atom
SG = No. 70


No. 5
VASP calculation (PBE-GGA) on a geometry-optimized YS2N2 structure.

CIF file:
```
data_YS2N2
_symmetry_space_group_name_H-M 'P 1'
_symmetry_Int_Tables_number 1
_cell_length_a 3.9676
_cell_length_b 3.9676
_cell_length_c 4.2813
_cell_angle_alpha 90.00
_cell_angle_beta 90.00
_cell_angle_gamma 90.00
loop_
_symmetry_equiv_pos_as_xyz
'x,y,z'
loop_
_atom_site_label
_atom_site_fract_x
_atom_site_fract_y
_atom_site_fract_z
S1 0.5000 0.0000 0.0000
S2 0.0000 0.5000 0.0000
N1 0.0000 0.0000 0.5000
N2 0.0000 0.0000 0.0000
Y1 0.5000 0.5000 0.5000
```

Summary:
Volume = 13.5 Å³/atom
Magnetic moment = 0.40 μB per formula unit
Density of states at the Fermi level = 0.3712 states/eV/atom
SG = No. 123
Energy above the most stable polymorph in this dataset = 0.676 eV/f.u.


No. 6
VASP calculation (PBE-GGA) on a geometry-optimized Ce3Tm2Co2 structure.

CIF file:
```
data_Ce3Tm2Co2
_symmetry_space_group_name_H-M 'P 1'
_symmetry_Int_Tables_number 1
_cell_length_a 3.5990
_cell_length_b 5.8562
_cell_length_c 8.6489
_cell_angle_alpha 69.29
_cell_angle_beta 77.99
_cell_angle_gamma 72.10
loop_
_symmetry_equiv_pos_as_xyz
'x,y,z'
loop_
_atom_site_label
_atom_site_fract_x
_atom_site_fract_y
_atom_site_fract_z
Ce1 0.5000 0.0000 0.0000
Ce2 0.3805 0.8061 0.4329
Ce3 0.6195 0.1939 0.5671
Co1 0.8747 0.0434 0.2072
Co2 0.1253 0.9566 0.7928
Tm1 0.8315 0.5338 0.8031
Tm2 0.1685 0.4662 0.1969
```

Summary:
Volume = 23.0 Å³/atom
Formation energy = -1.14 eV/f.u.
Magnetic moment = 0.00 μB per formula unit
Density of states at the Fermi level = 1.6000 states/eV/atom
SG = No. 12


No. 7
VASP calculation (PBE-GGA) on a geometry-optimized MgMo2BrCl structure.

CIF file:
```
data_MgMo2BrCl
_symmetry_space_group_name_H-M 'P 1'
_symmetry_Int_Tables_number 1
_cell_length_a 4.4767
_cell_length_b 5.1687
_cell_length_c 4.4767
_cell_angle_alpha 90.00
_cell_angle_beta 90.00
_cell_angle_gamma 90.00
loop_
_symmetry_equiv_pos_as_xyz
'x,y,z'
loop_
_atom_site_label
_atom_site_fract_x
_atom_site_fract_y
_atom_site_fract_z
Cl1 0.0000 0.0000 0.0000
Mo1 0.5000 0.0000 0.0000
Mo2 0.0000 0.0000 0.5000
Br1 0.5000 0.5000 0.5000
Mg1 0.0000 0.5000 0.0000
```

Summary:
VASP energy = -4.1703 eV per atom
Volume = 20.7 Å³/atom
Magnetic moment = 0.90 μB per formula unit
Density of states at the Fermi level = 1.2416 states/eV/atom
SG = No. 123


No. 8
VASP calculation (PBE-GGA) on a geometry-optimized Rb3Ac3ReS8 structure.

CIF file:
```
data_Rb3Ac3ReS8
_symmetry_space_group_name_H-M 'P 1'
_symmetry_Int_Tables_number 1
_cell_length_a 8.5050
_cell_length_b 8.5047
_cell_length_c 9.2677
_cell_angle_alpha 117.33
_cell_angle_beta 90.00
_cell_angle_gamma 120.00
loop_
_symmetry_equiv_pos_as_xyz
'x,y,z'
loop_
_atom_site_label
_atom_site_fract_x
_atom_site_fract_y
_atom_site_fract_z
S1 0.2014 0.4028 0.6798
S2 0.7362 0.4725 0.7086
S3 0.7986 0.0215 0.3202
S4 0.7986 0.5972 0.3202
S5 0.2638 0.5275 0.2914
S6 0.2014 0.9785 0.6798
S7 0.2229 0.0215 0.3202
S8 0.7771 0.9785 0.6798
Ac1 0.0000 0.5000 0.5000
Ac2 0.5000 0.0000 0.5000
Ac3 0.5000 0.5000 0.5000
Rb1 0.0000 0.5000 0.0000
Rb2 0.0000 0.0000 0.0000
Rb3 0.5000 0.5000 0.0000
Re1 0.0000 0.0000 0.5000
```

Summary:
VASP energy = -5.4862 eV per atom
Volume = 32.8 Å³/atom
Magnetic moment = 3.00 μB per formula unit
SG = No. 166


No. 9
VASP calculation (PBE-GGA) on a geometry-optimized VZnB structure.

CIF file:
```
data_VZnB
_symmetry_space_group_name_H-M 'P 1'
_symmetry_Int_Tables_number 1
_cell_length_a 5.2150
_cell_length_b 4.6923
_cell_length_c 7.1587
_cell_angle_alpha 90.00
_cell_angle_beta 130.57
_cell_angle_gamma 90.00
loop_
_symmetry_equiv_pos_as_xyz
'x,y,z'
loop_
_atom_site_label
_atom_site_fract_x
_atom_site_fract_y
_atom_site_fract_z
B1 0.5000 0.1825 0.5000
B2 0.5000 0.3175 0.0000
B3 0.5000 0.8175 0.5000
B4 0.5000 0.6825 0.0000
V1 0.3570 0.0000 0.1633
V2 0.6430 0.5000 0.3367
V3 0.6430 0.0000 0.8367
V4 0.3570 0.5000 0.6633
Zn1 0.0205 0.5000 0.1797
Zn2 0.9795 0.5000 0.8203
Zn3 0.9795 0.0000 0.3203
Zn4 0.0205 0.0000 0.6797
```

Summary:
Volume = 11.1 Å³/atom
Formation energy = -0.27 eV/f.u.
Magnetic moment = 0.00 μB per formula unit
Density of states at the Fermi level = 0.2376 states/eV/atom
SG = No. 12
Energy above the most stable polymorph in this dataset = 0.985 eV/f.u.


No. 10
VASP calculation (PBE-GGA) on a geometry-optimized AcYS2 structure.

CIF file:
```
data_AcYS2
_symmetry_space_group_name_H-M 'P 1'
_symmetry_Int_Tables_number 1
_cell_length_a 4.1081
_cell_length_b 4.1081
_cell_length_c 9.0272
_cell_angle_alpha 76.85
_cell_angle_beta 76.85
_cell_angle_gamma 60.00
loop_
_symmetry_equiv_pos_as_xyz
'x,y,z'
loop_
_atom_site_label
_atom_site_fract_x
_atom_site_fract_y
_atom_site_fract_z
Ac1 0.0000 0.0000 0.0000
S1 0.8879 0.8879 0.3363
S2 0.1121 0.1121 0.6637
Y1 0.5000 0.5000 0.5000
```

Summary:
Volume = 31.8 Å³/atom
Magnetic moment = 0.00 μB per formula unit
Density of states at the Fermi level = 0.5744 states/eV/atom
SG = No. 166
Energy above the most stable polymorph in this dataset = 1.370 eV/f.u.


No. 11
VASP calculation (PBE-GGA) on a geometry-optimized KLiAsAu2 structure.

CIF file:
```
data_KLiAsAu2
_symmetry_space_group_name_H-M 'P 1'
_symmetry_Int_Tables_number 1
_cell_length_a 5.1342
_cell_length_b 5.1342
_cell_length_c 4.9002
_cell_angle_alpha 90.00
_cell_angle_beta 90.00
_cell_angle_gamma 90.00
loop_
_symmetry_equiv_pos_as_xyz
'x,y,z'
loop_
_atom_site_label
_atom_site_fract_x
_atom_site_fract_y
_atom_site_fract_z
Au1 0.5000 0.0000 0.0000
Au2 0.0000 0.5000 0.0000
K1 0.5000 0.5000 0.5000
Li1 0.0000 0.0000 0.5000
As1 0.0000 0.0000 0.0000
```

Summary:
Volume = 25.8 Å³/atom
Formation energy = -1.42 eV/f.u.
Magnetic moment = 0.00 μB per formula unit
Density of states at the Fermi level = 0.3124 states/eV/atom
SG = No. 123


No. 12
VASP calculation (PBE-GGA) on a geometry-optimized NaInH3 structure.

CIF file:
```
data_NaInH3
_symmetry_space_group_name_H-M 'P 1'
_symmetry_Int_Tables_number 1
_cell_length_a 3.9505
_cell_length_b 3.9505
_cell_length_c 3.9505
_cell_angle_alpha 90.00
_cell_angle_beta 90.00
_cell_angle_gamma 90.00
loop_
_symmetry_equiv_pos_as_xyz
'x,y,z'
loop_
_atom_site_label
_atom_site_fract_x
_atom_site_fract_y
_atom_site_fract_z
H1 0.5000 0.0000 0.0000
H2 0.0000 0.0000 0.5000
H3 0.0000 0.5000 0.0000
In1 0.5000 0.5000 0.5000
Na1 0.0000 0.0000 0.0000
```

Summary:
Volume = 12.3 Å³/atom
Magnetic moment = 0.00 μB per formula unit
Density of states at the Fermi level = 0.2188 states/eV/atom
SG = No. 221
Energy above the most stable polymorph in this dataset = 1.963 eV/f.u.